[1]
First-principles (PBE) data for an optimized crystal structure of Tm5Mg4Pd, as listed in Alexandria via LeMat-Bulk. Values from VASP.

Quantum ESPRESSO input file:
```
&SYSTEM
  ibrav = 0, nat = 10, ntyp = 3
/
ATOMIC_SPECIES
Mg 24.30 Mg.upf
Tm 168.93 Tm.upf
Pd 106.42 Pd.upf
CELL_PARAMETERS angstrom
3.6423 0.0000 0.0000
0.0000 3.6423 0.0000
0.0000 0.0000 18.9017
ATOMIC_POSITIONS angstrom
Mg 0.0000 0.0000 11.4121
Tm 1.8211 1.8211 1.6081
Pd 0.0000 0.0000 0.0000
Mg 0.0000 0.0000 3.6094
Tm 1.8211 1.8211 9.4509
Mg 0.0000 0.0000 15.2923
Tm 1.8211 1.8211 5.5365
Tm 1.8211 1.8211 17.2936
Tm 1.8211 1.8211 13.3653
Mg 0.0000 0.0000 7.4896
```

Results
- Uncorrected energy: -3.62 eV per atom

***

[2]
First-principles (PBE) data for an optimized crystal structure of Tm2Mg3Pd2, as listed in Alexandria via LeMat-Bulk. Values from VASP.

Quantum ESPRESSO input file:
```
&SYSTEM
  ibrav = 0, nat = 7, ntyp = 3
/
ATOMIC_SPECIES
Tm 168.93 Tm.upf
Mg 24.30 Mg.upf
Pd 106.42 Pd.upf
CELL_PARAMETERS angstrom
3.9079 0.0000 0.0000
-1.9539 5.1418 0.1468
0.0000 -1.0024 7.6334
ATOMIC_POSITIONS angstrom
Tm 1.9539 0.9112 2.8055
Mg 1.9539 1.0891 6.6457
Mg 0.0000 0.0000 0.0000
Mg 0.0000 3.0503 1.1346
Pd 0.0000 0.3019 4.9665
Pd 1.9539 3.8376 2.8137
Tm 0.0000 3.2282 4.9747
```

Results
- Uncorrected energy: -4.00 eV per atom

***

[3]
First-principles (PBE) data for an optimized crystal structure of Tm2MgPd3, as listed in Alexandria via LeMat-Bulk. Values from VASP.

Quantum ESPRESSO input file:
```
&SYSTEM
  ibrav = 0, nat = 6, ntyp = 3
/
ATOMIC_SPECIES
Pd 106.42 Pd.upf
Mg 24.30 Mg.upf
Tm 168.93 Tm.upf
CELL_PARAMETERS angstrom
-2.2662 -1.0080 2.2874
-1.9745 -1.1715 -2.4724
4.6142 -9.0286 0.5929
ATOMIC_POSITIONS angstrom
Pd 3.0089 -5.8876 0.3866
Pd 1.6053 -3.1410 0.2063
Mg 0.1867 -5.6040 0.2040
Tm -1.3040 -2.6870 0.0124
Pd 0.0000 0.0000 0.0000
Tm 1.6775 -8.5210 0.3955
```

Results
- Distance to the lowest polymorph of the same formula: 0.007 eV per atom
- Uncorrected energy: -5.22 eV per atom

***

[4]
First-principles (PBE) data for an optimized crystal structure of TmMg3Pd12, as listed in Alexandria via LeMat-Bulk. Values from VASP.

Quantum ESPRESSO input file:
```
&SYSTEM
  ibrav = 0, nat = 16, ntyp = 3
/
ATOMIC_SPECIES
Pd 106.42 Pd.upf
Mg 24.30 Mg.upf
Tm 168.93 Tm.upf
CELL_PARAMETERS angstrom
-1.9669 -3.4733 -0.4355
0.4554 -0.7492 3.9184
-13.7526 7.4100 3.0151
ATOMIC_POSITIONS angstrom
Pd -7.6321 1.5937 3.2490
Pd -0.7558 -2.1113 1.7415
Pd -11.7165 6.0610 4.5778
Pd -2.7919 -0.7623 0.1787
Mg -6.8763 3.7050 1.5076
Pd -8.3303 4.2365 3.8354
Pd -4.9669 2.4243 3.0981
Mg -10.2463 5.5208 2.2464
Pd -12.9277 4.6989 2.4009
Pd -4.2594 -0.2235 2.5096
Pd -6.1781 1.0622 0.9211
Tm 0.0000 0.0000 0.0000
Pd -1.5807 0.5998 2.3557
Pd -9.5414 2.8744 1.6585
Pd -11.0047 3.4109 3.9884
Mg -3.5063 1.8892 0.7687
```

Results
- Uncorrected energy: -5.05 eV per atom